1.
Entry from the Open Quantum Materials Database: a relaxed structure of NbZnCuHg (PBE).

```
NbZnCuHg
1.0
0.0000 3.2193 3.2193
3.2193 0.0000 3.2193
3.2193 3.2193 0.0000
Nb Zn Cu Hg
1 1 1 1
Cartesian
0.0000 0.0000 0.0000
3.2193 3.2193 3.2193
4.8289 4.8289 4.8289
1.6096 1.6096 1.6096
```

Output
Its space group is F-43m. The calculation puts the total magnetization at 0.04 Bohr magnetons per cell.



2.
Entry from the Open Quantum Materials Database: a relaxed structure of NbZnCuHg (PBE).

```
NbZnCuHg
1.0
0.0000 3.2187 3.2187
3.2187 0.0000 3.2187
3.2187 3.2187 0.0000
Nb Zn Cu Hg
1 1 1 1
Cartesian
0.0000 0.0000 0.0000
1.6094 1.6094 1.6094
3.2187 3.2187 3.2187
4.8281 4.8281 4.8281
```

Output
Its space group is F-43m. The calculation puts the total magnetization at 0.08 Bohr magnetons per cell.



Stability order, top to bottom: 2, 1



1.
Entry from the Open Quantum Materials Database: a relaxed structure of CuHgOsPb (PBE).

```
CuHgOsPb
1.0
0.0000 3.3198 3.3198
3.3198 0.0000 3.3198
3.3198 3.3198 0.0000
Cu Hg Os Pb
1 1 1 1
Cartesian
0.0000 0.0000 0.0000
1.6599 1.6599 1.6599
3.3198 3.3198 3.3198
4.9796 4.9796 4.9796
```

Output
Its space group is F-43m. The calculation puts the total magnetization at 0.00 Bohr magnetons per cell.



2.
Entry from the Open Quantum Materials Database: a relaxed structure of CuHgOsPb (PBE).

```
CuHgOsPb
1.0
0.0000 3.3653 3.3653
3.3653 0.0000 3.3653
3.3653 3.3653 0.0000
Cu Hg Os Pb
1 1 1 1
Cartesian
0.0000 0.0000 0.0000
3.3653 3.3653 3.3653
1.6826 1.6826 1.6826
5.0479 5.0479 5.0479
```

Output
Its space group is F-43m. The calculation puts the total magnetization at 0.58 Bohr magnetons per cell.



Stability order, top to bottom: 1, 2



1.
Entry from the Open Quantum Materials Database: a relaxed structure of PaCuHg (PBE).

```
PaCuHg
1.0
0.0000 3.3974 3.3974
3.3974 0.0000 3.3974
3.3974 3.3974 0.0000
Pa Cu Hg
1 1 1
Cartesian
0.0000 0.0000 0.0000
5.0961 5.0961 5.0961
1.6987 1.6987 1.6987
```

Output
Its space group is F-43m. The calculation puts the total magnetization at 0.68 Bohr magnetons per cell.



2.
Entry from the Open Quantum Materials Database: a relaxed structure of PaCuHg (PBE).

```
PaCuHg
1.0
0.0000 3.3219 3.3219
3.3219 0.0000 3.3219
3.3219 3.3219 0.0000
Pa Cu Hg
1 1 1
Cartesian
0.0000 0.0000 0.0000
3.3219 3.3219 3.3219
4.9828 4.9828 4.9828
```

Output
Its space group is F-43m. The calculation puts the total magnetization at 0.65 Bohr magnetons per cell.



Stability order, top to bottom: 2, 1



1.
Entry from the Open Quantum Materials Database: a relaxed structure of CuReHgPb (PBE).

```
CuReHgPb
1.0
0.0000 3.3315 3.3315
3.3315 0.0000 3.3315
3.3315 3.3315 0.0000
Cu Re Hg Pb
1 1 1 1
Cartesian
0.0000 0.0000 0.0000
3.3315 3.3315 3.3315
1.6657 1.6657 1.6657
4.9972 4.9972 4.9972
```

Output
Its space group is F-43m. The calculation puts the total magnetization at 0.00 Bohr magnetons per cell.



2.
Entry from the Open Quantum Materials Database: a relaxed structure of CuReHgPb (PBE).

```
CuReHgPb
1.0
0.0000 3.4159 3.4159
3.4159 0.0000 3.4159
3.4159 3.4159 0.0000
Cu Re Hg Pb
1 1 1 1
Cartesian
0.0000 0.0000 0.0000
1.7079 1.7079 1.7079
3.4159 3.4159 3.4159
5.1238 5.1238 5.1238
```

Output
Its space group is F-43m. The calculation puts the total magnetization at 2.57 Bohr magnetons per cell.



Stability order, top to bottom: 1, 2



1.
Entry from the Open Quantum Materials Database: a relaxed structure of TaCuHgPb (PBE).

```
TaCuHgPb
1.0
0.0000 3.4200 3.4200
3.4200 0.0000 3.4200
3.4200 3.4200 0.0000
Ta Cu Hg Pb
1 1 1 1
Cartesian
0.0000 0.0000 0.0000
3.4200 3.4200 3.4200
5.1301 5.1301 5.1301
1.7100 1.7100 1.7100
```

Output
Its space group is F-43m. The calculation puts the total magnetization at 1.67 Bohr magnetons per cell.



2.
Entry from the Open Quantum Materials Database: a relaxed structure of TaCuHgPb (PBE).

```
TaCuHgPb
1.0
0.0000 3.4629 3.4629
3.4629 0.0000 3.4629
3.4629 3.4629 0.0000
Ta Cu Hg Pb
1 1 1 1
Cartesian
0.0000 0.0000 0.0000
5.1943 5.1943 5.1943
1.7314 1.7314 1.7314
3.4629 3.4629 3.4629
```

Output
Its space group is F-43m. The calculation puts the total magnetization at 1.75 Bohr magnetons per cell.



Stability order, top to bottom: 1, 2



1.
Entry from the Open Quantum Materials Database: a relaxed structure of CuTcHgPb (PBE).

```
CuTcHgPb
1.0
0.0000 3.4186 3.4186
3.4186 0.0000 3.4186
3.4186 3.4186 0.0000
Cu Tc Hg Pb
1 1 1 1
Cartesian
0.0000 0.0000 0.0000
1.7093 1.7093 1.7093
3.4186 3.4186 3.4186
5.1279 5.1279 5.1279
```

Output
Its space group is F-43m. The calculation puts the total magnetization at 2.73 Bohr magnetons per cell.



2.
Entry from the Open Quantum Materials Database: a relaxed structure of CuTcHgPb (PBE).

```
CuTcHgPb
1.0
0.0000 3.3219 3.3219
3.3219 0.0000 3.3219
3.3219 3.3219 0.0000
Cu Tc Hg Pb
1 1 1 1
Cartesian
0.0000 0.0000 0.0000
3.3219 3.3219 3.3219
1.6610 1.6610 1.6610
4.9829 4.9829 4.9829
```

Output
Its space group is F-43m. The calculation puts the total magnetization at 0.01 Bohr magnetons per cell.



Stability order, top to bottom: 2, 1



1.
Entry from the Open Quantum Materials Database: a relaxed structure of YCuHgPb (PBE).

```
YCuHgPb
1.0
0.0000 3.6006 3.6006
3.6006 0.0000 3.6006
3.6006 3.6006 0.0000
Y Cu Hg Pb
1 1 1 1
Cartesian
0.0000 0.0000 0.0000
5.4008 5.4008 5.4008
1.8003 1.8003 1.8003
3.6006 3.6006 3.6006
```

Output
Its space group is F-43m. The calculation puts the total magnetization at 0.00 Bohr magnetons per cell.



2.
Entry from the Open Quantum Materials Database: a relaxed structure of YCuHgPb (PBE).

```
YCuHgPb
1.0
0.0000 3.5792 3.5792
3.5792 0.0000 3.5792
3.5792 3.5792 0.0000
Y Cu Hg Pb
1 1 1 1
Cartesian
0.0000 0.0000 0.0000
3.5792 3.5792 3.5792
5.3689 5.3689 5.3689
1.7896 1.7896 1.7896
```

Output
Its space group is F-43m. The calculation puts the total magnetization at 0.00 Bohr magnetons per cell.



Stability order, top to bottom: 1, 2



1.
Entry from the Open Quantum Materials Database: a relaxed structure of ZrCuHgPb (PBE).

```
ZrCuHgPb
1.0
0.0000 3.5214 3.5214
3.5214 0.0000 3.5214
3.5214 3.5214 0.0000
Zr Cu Hg Pb
1 1 1 1
Cartesian
0.0000 0.0000 0.0000
5.2821 5.2821 5.2821
1.7607 1.7607 1.7607
3.5214 3.5214 3.5214
```

Output
Its space group is F-43m. The calculation puts the total magnetization at 0.00 Bohr magnetons per cell.



2.
Entry from the Open Quantum Materials Database: a relaxed structure of ZrCuHgPb (PBE).

```
ZrCuHgPb
1.0
0.0000 3.4753 3.4753
3.4753 0.0000 3.4753
3.4753 3.4753 0.0000
Zr Cu Hg Pb
1 1 1 1
Cartesian
0.0000 0.0000 0.0000
3.4753 3.4753 3.4753
5.2130 5.2130 5.2130
1.7377 1.7377 1.7377
```

Output
Its space group is F-43m. The calculation puts the total magnetization at 0.01 Bohr magnetons per cell.



Stability order, top to bottom: 2, 1



1.
Entry from the Open Quantum Materials Database: a relaxed structure of CuReHgSb (PBE).

```
CuReHgSb
1.0
0.0000 3.3645 3.3645
3.3645 0.0000 3.3645
3.3645 3.3645 0.0000
Cu Re Hg Sb
1 1 1 1
Cartesian
0.0000 0.0000 0.0000
1.6822 1.6822 1.6822
3.3645 3.3645 3.3645
5.0467 5.0467 5.0467
```

Output
Its space group is F-43m. The calculation puts the total magnetization at 1.78 Bohr magnetons per cell.



2.
Entry from the Open Quantum Materials Database: a relaxed structure of CuReHgSb (PBE).

```
CuReHgSb
1.0
0.0000 3.2898 3.2898
3.2898 0.0000 3.2898
3.2898 3.2898 0.0000
Cu Re Hg Sb
1 1 1 1
Cartesian
0.0000 0.0000 0.0000
3.2898 3.2898 3.2898
1.6449 1.6449 1.6449
4.9347 4.9347 4.9347
```

Output
Its space group is F-43m. The calculation puts the total magnetization at 0.01 Bohr magnetons per cell.



Stability order, top to bottom: 2, 1



1.
Entry from the Open Quantum Materials Database: a relaxed structure of CuReSiHg (PBE).

```
CuReSiHg
1.0
0.0000 3.1264 3.1264
3.1264 0.0000 3.1264
3.1264 3.1264 0.0000
Cu Re Si Hg
1 1 1 1
Cartesian
0.0000 0.0000 0.0000
3.1264 3.1264 3.1264
4.6896 4.6896 4.6896
1.5632 1.5632 1.5632
```

Output
Its space group is F-43m. The calculation puts the total magnetization at 0.00 Bohr magnetons per cell.



2.
Entry from the Open Quantum Materials Database: a relaxed structure of CuReSiHg (PBE).

```
CuReSiHg
1.0
0.0000 3.1704 3.1704
3.1704 0.0000 3.1704
3.1704 3.1704 0.0000
Cu Re Si Hg
1 1 1 1
Cartesian
0.0000 0.0000 0.0000
1.5852 1.5852 1.5852
4.7556 4.7556 4.7556
3.1704 3.1704 3.1704
```

Output
Its space group is F-43m. The calculation puts the total magnetization at 0.07 Bohr magnetons per cell.



Stability order, top to bottom: 1, 2



1.
Entry from the Open Quantum Materials Database: a relaxed structure of CuReSnHg (PBE).

```
CuReSnHg
1.0
0.0000 3.2750 3.2750
3.2750 0.0000 3.2750
3.2750 3.2750 0.0000
Cu Re Sn Hg
1 1 1 1
Cartesian
0.0000 0.0000 0.0000
3.2750 3.2750 3.2750
4.9125 4.9125 4.9125
1.6375 1.6375 1.6375
```

Output
Its space group is F-43m. The calculation puts the total magnetization at 0.01 Bohr magnetons per cell.



2.
Entry from the Open Quantum Materials Database: a relaxed structure of CuReSnHg (PBE).

```
CuReSnHg
1.0
0.0000 3.3335 3.3335
3.3335 0.0000 3.3335
3.3335 3.3335 0.0000
Cu Re Sn Hg
1 1 1 1
Cartesian
0.0000 0.0000 0.0000
1.6667 1.6667 1.6667
5.0002 5.0002 5.0002
3.3335 3.3335 3.3335
```

Output
Its space group is F-43m. The calculation puts the total magnetization at 2.37 Bohr magnetons per cell.



Stability order, top to bottom: 1, 2



1.
Entry from the Open Quantum Materials Database: a relaxed structure of TlCuReHg (PBE).

```
TlCuReHg
1.0
0.0000 3.3564 3.3564
3.3564 0.0000 3.3564
3.3564 3.3564 0.0000
Tl Cu Re Hg
1 1 1 1
Cartesian
0.0000 0.0000 0.0000
1.6782 1.6782 1.6782
3.3564 3.3564 3.3564
5.0345 5.0345 5.0345
```

Output
Its space group is F-43m. The calculation puts the total magnetization at 2.56 Bohr magnetons per cell.



2.
Entry from the Open Quantum Materials Database: a relaxed structure of TlCuReHg (PBE).

```
TlCuReHg
1.0
0.0000 3.3125 3.3125
3.3125 0.0000 3.3125
3.3125 3.3125 0.0000
Tl Cu Re Hg
1 1 1 1
Cartesian
0.0000 0.0000 0.0000
1.6563 1.6563 1.6563
4.9688 4.9688 4.9688
3.3125 3.3125 3.3125
```

Output
Its space group is F-43m. The calculation puts the total magnetization at 0.84 Bohr magnetons per cell.



Stability order, top to bottom: 2, 1